No. 1
Here is a relaxed Be2NbAu2 crystal from OQMD. Energies are from GGA-PBE.

Cell lengths 5.362, 5.362, 5.362 Å; angles 135.66, 135.66, 64.51 degrees
Fractional coordinates of all 5 atoms:
Be 0.250 0.750 0.500
Be 0.750 0.250 0.500
Nb 0.000 0.000 0.000
Au 0.360 0.360 0.000
Au 0.640 0.640 0.000

energy above the most stable polymorph in this dataset	0.902	eV per formula unit

***

No. 2
Here is a relaxed LiFeSnAs crystal from OQMD. Energies are from GGA-PBE.

Cell lengths 4.401, 4.401, 4.401 Å; angles 60.00, 60.00, 60.00 degrees
Fractional coordinates of all 4 atoms:
Li 0.000 0.000 0.000
Fe 0.500 0.500 0.500
Sn 0.750 0.750 0.750
As 0.250 0.250 0.250

energy above the most stable polymorph in this dataset	0.000	eV per formula unit

***

No. 3
Here is a relaxed LiInCuW crystal from OQMD. Energies are from GGA-PBE.

Cell lengths 4.421, 4.421, 4.421 Å; angles 60.00, 60.00, 60.00 degrees
Fractional coordinates of all 4 atoms:
Li 0.000 0.000 0.000
In 0.250 0.250 0.250
Cu 0.500 0.500 0.500
W 0.750 0.750 0.750

energy above the most stable polymorph in this dataset	0.000	eV per formula unit

***

No. 4
Here is a relaxed SnMo4SN2 crystal from OQMD. Energies are from GGA-PBE.

Cell lengths 3.307, 3.307, 11.903 Å; angles 90.00, 90.00, 120.00 degrees
Fractional coordinates of all 8 atoms:
Sn 0.000 0.000 0.000
Mo 0.000 0.000 0.357
Mo 0.000 0.000 0.643
Mo 0.333 0.667 0.193
Mo 0.333 0.667 0.807
S 0.333 0.667 0.500
N 0.667 0.333 0.256
N 0.667 0.333 0.744

energy	-68.85	eV/cell

***

Number 1: total moment 0.004 μB/atom, calculated density 11.29 Mg/m³. Number 2: total moment 0.012 μB/atom, calculated density 7.06 Mg/m³. Number 3: total moment 0.555 μB/atom, calculated density 10.03 Mg/m³. Number 4: total moment 0.000 μB/atom, calculated density 8.29 Mg/m³.